# PBE with a Hubbard U Pm2CoCuO6, optimized geometry
data_Pm2CoCuO6
_symmetry_space_group_name_H-M 'P 1 21/c 1'
_symmetry_Int_Tables_number 14
_cell_length_a 5.3571
_cell_length_b 5.5778
_cell_length_c 9.3136
_cell_angle_alpha 90.00
_cell_angle_beta 125.10
_cell_angle_gamma 90.00
loop_
_symmetry_equiv_pos_as_xyz
'x,y,z'
'-x,-y,-z'
'-x,y+1/2,-z+1/2'
'x,-y+1/2,z+1/2'
loop_
_atom_site_label
_atom_site_type_symbol
_atom_site_fract_x
_atom_site_fract_y
_atom_site_fract_z
Pm1 Pm 0.2350 0.0622 0.2500
Co1 Co 0.0000 0.0000 0.5000
Cu1 Cu 0.5000 0.0000 0.0000
O1 O 0.1483 0.2120 0.9534
O2 O 0.2469 0.6976 0.9551
O3 O 0.3326 0.0216 0.7449
# - Total magnetization: 2.0 μB/f.u.
# - Calculated volume: 11.4 A^3/atom
# - DFT total energy: -6.911 eV per atom